(1)
Entry from Alexandria: crystalline Si2TeMo at its relaxed geometry (GGA-PBE).

The structure in CIF format:
```
data_Si2TeMo
_chemical_formula_sum 'Si4 Te2 Mo2'
_space_group_name_H-M_alt 'A m m 2'
_space_group_IT_number 38
_space_group_name_Hall 'A 2 -2'
_cell_length_a 4.148
_cell_length_b 3.464
_cell_length_c 10.032
_cell_angle_alpha 90.00
_cell_angle_beta 90.00
_cell_angle_gamma 90.00
loop_
_atom_site_label
_atom_site_type_symbol
_atom_site_fract_x
_atom_site_fract_y
_atom_site_fract_z
Si1 Si 0.000 0.000 0.000
Si2 Si 0.500 0.000 0.450
Te1 Te 0.500 0.000 0.706
Mo1 Mo 0.000 0.000 0.310
```

Properties
As for the formation energy from raw total energies: 0.20 eV/atom. The value obtained for the total energy is -6.0006 eV per atom. The magnetization comes out at 0.0 μB/cell. The density of states at the Fermi level comes out at 2.527 states/eV per cell.

***

(2)
Entry from Alexandria: crystalline Si2TeMo2 at its relaxed geometry (GGA-PBE).

The structure in CIF format:
```
data_Si2TeMo2
_chemical_formula_sum 'Si4 Te2 Mo4'
_space_group_name_H-M_alt 'I 4/m m m'
_space_group_IT_number 139
_space_group_name_Hall '-I 4 2'
_cell_length_a 3.475
_cell_length_b 3.475
_cell_length_c 13.686
_cell_angle_alpha 90.00
_cell_angle_beta 90.00
_cell_angle_gamma 90.00
loop_
_atom_site_label
_atom_site_type_symbol
_atom_site_fract_x
_atom_site_fract_y
_atom_site_fract_z
Si1 Si 0.000 0.500 0.250
Te1 Te 0.000 0.000 0.000
Mo1 Mo 0.000 0.000 0.386
```

Properties
As for the formation energy from raw total energies: -0.12 eV/atom. The value obtained for the total energy is -7.2477 eV per atom. The magnetization comes out at 0.0 μB/cell. The density of states at the Fermi level comes out at 4.940 states/eV per cell.

***

(3)
Entry from Alexandria: crystalline SiTe2Mo at its relaxed geometry (GGA-PBE).

The structure in CIF format:
```
data_SiTe2Mo
_chemical_formula_sum 'Si2 Te4 Mo2'
_space_group_name_H-M_alt 'C 1 2/m 1'
_space_group_IT_number 12
_space_group_name_Hall '-C 2y'
_cell_length_a 8.463
_cell_length_b 3.454
_cell_length_c 6.149
_cell_angle_alpha 90.00
_cell_angle_beta 99.82
_cell_angle_gamma 90.00
loop_
_atom_site_label
_atom_site_type_symbol
_atom_site_fract_x
_atom_site_fract_y
_atom_site_fract_z
Si1 Si 0.000 0.000 0.000
Te1 Te 0.230 0.000 0.722
Mo1 Mo 0.000 0.500 0.500
```

Properties
As for the formation energy from raw total energies: 0.50 eV/atom. The value obtained for the total energy is -5.1302 eV per atom. The magnetization comes out at 0.0 μB/cell. The density of states at the Fermi level comes out at 5.105 states/eV per cell.

***

(4)
Entry from Alexandria: crystalline SiTe2Mo at its relaxed geometry (GGA-PBE).

The structure in CIF format:
```
data_SiTe2Mo
_chemical_formula_sum 'Si3 Te6 Mo3'
_space_group_name_H-M_alt 'R 3 m'
_space_group_IT_number 160
_space_group_name_Hall 'R 3 -2"'
_cell_length_a 3.3642
_cell_length_b 3.3642
_cell_length_c 28.5079
_cell_angle_alpha 90.00
_cell_angle_beta 90.00
_cell_angle_gamma 120.00
loop_
_atom_site_label
_atom_site_type_symbol
_atom_site_fract_x
_atom_site_fract_y
_atom_site_fract_z
Si1 Si 0.0000 0.0000 0.0000
Te1 Te 0.0000 0.0000 0.2635
Te2 Te 0.0000 0.0000 0.4623
Mo1 Mo 0.0000 0.0000 0.7301
```

Properties
As for the formation energy from raw total energies: 0.10 eV/atom. The value obtained for the total energy is -5.5386 eV per atom. The magnetization comes out at 0.0 μB/cell. The density of states at the Fermi level comes out at 5.992 states/eV per cell.

***

(5)
Entry from Alexandria: crystalline Si2TeMo at its relaxed geometry (GGA-PBE).

The structure in CIF format:
```
data_Si2TeMo
_chemical_formula_sum 'Si4 Te2 Mo2'
_space_group_name_H-M_alt 'C 1 m 1'
_space_group_IT_number 8
_space_group_name_Hall 'C -2y'
_cell_length_a 8.380
_cell_length_b 3.341
_cell_length_c 5.549
_cell_angle_alpha 90.00
_cell_angle_beta 95.65
_cell_angle_gamma 90.00
loop_
_atom_site_label
_atom_site_type_symbol
_atom_site_fract_x
_atom_site_fract_y
_atom_site_fract_z
Si1 Si 0.000 0.000 0.000
Si2 Si 0.237 0.000 0.792
Te1 Te 0.431 0.000 0.430
Mo1 Mo 0.226 0.500 0.127
```

Properties
As for the formation energy from raw total energies: 0.21 eV/atom. The value obtained for the total energy is -5.9963 eV per atom. The magnetization comes out at 0.0 μB/cell. The density of states at the Fermi level comes out at 3.738 states/eV per cell.

***

(6)
Entry from Alexandria: crystalline SiTe2Mo at its relaxed geometry (GGA-PBE).

The structure in CIF format:
```
data_SiTe2Mo
_chemical_formula_sum 'Si3 Te6 Mo3'
_space_group_name_H-M_alt 'R -3 m'
_space_group_IT_number 166
_space_group_name_Hall '-R 3 2"'
_cell_length_a 3.4181
_cell_length_b 3.4181
_cell_length_c 26.2001
_cell_angle_alpha 90.00
_cell_angle_beta 90.00
_cell_angle_gamma 120.00
loop_
_atom_site_label
_atom_site_type_symbol
_atom_site_fract_x
_atom_site_fract_y
_atom_site_fract_z
Si1 Si 0.0000 0.0000 0.0000
Te1 Te 0.0000 0.0000 0.2404
Mo1 Mo 0.0000 0.0000 0.5000
```

Properties
As for the formation energy from raw total energies: 0.35 eV/atom. The value obtained for the total energy is -5.2819 eV per atom. The magnetization comes out at 0.0 μB/cell. The density of states at the Fermi level comes out at 7.578 states/eV per cell.